# 1
BaTi2Pb2O7: optimized geometry, PBE.

Geometry as CIF:
```
data_BaTi2Pb2O7
_chemical_formula_sum 'Ba1 Ti2 Pb2 O7'
_space_group_name_H-M_alt 'P 1'
_space_group_IT_number 1
_space_group_name_Hall 'P 1'
_cell_length_a 5.8047
_cell_length_b 5.8047
_cell_length_c 8.8980
_cell_angle_alpha 70.96
_cell_angle_beta 70.96
_cell_angle_gamma 60.00
loop_
_atom_site_label
_atom_site_fract_x
_atom_site_fract_y
_atom_site_fract_z
Ba1 0.5000 0.5000 0.5000
Ti1 0.9244 0.9244 0.2267
Ti2 0.0756 0.0756 0.7733
Pb1 0.7153 0.7153 0.8540
Pb2 0.2847 0.2847 0.1460
O1 0.1802 0.9394 0.2945
O2 0.5859 0.1802 0.2945
O3 0.9394 0.5859 0.2945
O4 0.4141 0.0606 0.7055
O5 0.8198 0.4141 0.7055
O6 0.0000 0.0000 0.0000
O7 0.0606 0.8198 0.7055
```

## Properties
Total energy = -7.403 eV per atom
Raw formation energy = -2.416 eV per atom


# 2
Zr3SI7: optimized geometry, PBE.

Geometry as CIF:
```
data_Zr3SI7
_chemical_formula_sum 'Zr3 S1 I7'
_space_group_name_H-M_alt 'P 1'
_space_group_IT_number 1
_space_group_name_Hall 'P 1'
_cell_length_a 7.5078
_cell_length_b 8.0672
_cell_length_c 8.0672
_cell_angle_alpha 120.00
_cell_angle_beta 90.00
_cell_angle_gamma 90.00
loop_
_atom_site_label
_atom_site_fract_x
_atom_site_fract_y
_atom_site_fract_z
Zr1 0.7723 0.4750 0.5250
Zr2 0.7723 0.4750 0.9501
Zr3 0.7723 0.0499 0.5250
S1 0.5612 0.3333 0.6667
I1 0.0242 0.1660 0.8340
I2 0.0242 0.1660 0.3319
I3 0.9847 0.6667 0.3333
I4 0.5600 0.8342 0.1658
I5 0.5600 0.3317 0.1658
I6 0.5600 0.8342 0.6683
I7 0.0242 0.6681 0.8340
```

## Properties
Total energy = -4.677 eV per atom
Raw formation energy = -0.984 eV per atom


# 3
RuPtPb2S: optimized geometry, PBE.

Geometry as CIF:
```
data_RuPtPb2S
_chemical_formula_sum 'Ru1 Pt1 Pb2 S1'
_space_group_name_H-M_alt 'P 1'
_space_group_IT_number 1
_space_group_name_Hall 'P 1'
_cell_length_a 5.4076
_cell_length_b 4.2739
_cell_length_c 5.4076
_cell_angle_alpha 90.00
_cell_angle_beta 90.00
_cell_angle_gamma 90.00
loop_
_atom_site_label
_atom_site_fract_x
_atom_site_fract_y
_atom_site_fract_z
Pb1 0.0000 0.0000 0.5000
Pb2 0.5000 0.0000 0.0000
Ru1 0.0000 0.0000 0.0000
S1 0.0000 0.5000 0.0000
Pt1 0.5000 0.5000 0.5000
```

## Properties
Total energy = -4.988 eV per atom
Raw formation energy = 0.384 eV per atom


# 4
SrCr2Pt: optimized geometry, PBE.

Geometry as CIF:
```
data_SrCr2Pt
_chemical_formula_sum 'Sr1 Cr2 Pt1'
_space_group_name_H-M_alt 'P 1'
_space_group_IT_number 1
_space_group_name_Hall 'P 1'
_cell_length_a 4.9244
_cell_length_b 4.9244
_cell_length_c 5.5864
_cell_angle_alpha 79.06
_cell_angle_beta 79.06
_cell_angle_gamma 38.37
loop_
_atom_site_label
_atom_site_fract_x
_atom_site_fract_y
_atom_site_fract_z
Cr1 0.0281 0.0281 0.8575
Cr2 0.4719 0.4719 0.6425
Pt1 0.7500 0.7500 0.7500
Sr1 0.2500 0.2500 0.2500
```

## Properties
Total energy = -6.432 eV per atom
Energy of formation from the pure elements = 310 meV per atom


# 5
BaIn2Ga: optimized geometry, PBE.

Geometry as CIF:
```
data_BaIn2Ga
_chemical_formula_sum 'Ba1 In2 Ga1'
_space_group_name_H-M_alt 'P 1'
_space_group_IT_number 1
_space_group_name_Hall 'P 1'
_cell_length_a 3.8720
_cell_length_b 3.8720
_cell_length_c 7.8628
_cell_angle_alpha 90.00
_cell_angle_beta 90.00
_cell_angle_gamma 90.00
loop_
_atom_site_label
_atom_site_fract_x
_atom_site_fract_y
_atom_site_fract_z
Ba1 0.5000 0.5000 0.5000
Ga1 0.5000 0.5000 0.0000
In1 0.0000 0.0000 0.8085
In2 0.0000 0.0000 0.1915
```

## Properties
Total energy = -2.845 eV per atom
Energy of formation from the pure elements = -238 meV per atom


# 6
PaGe2Os: optimized geometry, PBE.

Geometry as CIF:
```
data_PaGe2Os
_chemical_formula_sum 'Pa4 Ge8 Os4'
_space_group_name_H-M_alt 'P 1'
_space_group_IT_number 1
_space_group_name_Hall 'P 1'
_cell_length_a 4.2933
_cell_length_b 8.9419
_cell_length_c 9.4341
_cell_angle_alpha 118.29
_cell_angle_beta 103.15
_cell_angle_gamma 90.00
loop_
_atom_site_label
_atom_site_fract_x
_atom_site_fract_y
_atom_site_fract_z
Pa1 0.7084 0.7084 0.4168
Pa2 0.5000 0.2625 0.0000
Pa3 0.5000 0.7375 0.0000
Pa4 0.2916 0.2916 0.5832
Ge1 0.9239 0.4239 0.8478
Ge2 0.6993 0.3554 0.3986
Ge3 0.6993 0.0432 0.3986
Ge4 0.3007 0.6446 0.6014
Ge5 0.0759 0.0759 0.1519
Ge6 0.0761 0.5761 0.1522
Ge7 0.9241 0.9241 0.8481
Ge8 0.3007 0.9568 0.6014
Os1 0.8578 0.6071 0.7156
Os2 0.1422 0.3929 0.2844
Os3 0.1422 0.8915 0.2844
Os4 0.8578 0.1085 0.7156
```

## Properties
Total energy = -7.929 eV per atom
Energy of formation from the pure elements = -439 meV per atom


# 7
SrMn2Sb: optimized geometry, PBE.

Geometry as CIF:
```
data_SrMn2Sb
_chemical_formula_sum 'Sr1 Mn2 Sb1'
_space_group_name_H-M_alt 'P 1'
_space_group_IT_number 1
_space_group_name_Hall 'P 1'
_cell_length_a 5.7014
_cell_length_b 5.7014
_cell_length_c 5.7014
_cell_angle_alpha 136.76
_cell_angle_beta 128.19
_cell_angle_gamma 69.71
loop_
_atom_site_label
_atom_site_fract_x
_atom_site_fract_y
_atom_site_fract_z
Mn1 0.9738 0.9738 0.0000
Mn2 0.5262 0.5262 0.0000
Sb1 0.7500 0.2500 0.5000
Sr1 0.2500 0.7500 0.5000
```

## Properties
Total energy = -5.692 eV per atom
Raw formation energy = 0.343 eV per atom


# 8
Sr4NpPa3P8: optimized geometry, PBE.

Geometry as CIF:
```
data_Sr4NpPa3P8
_chemical_formula_sum 'Sr4 Np1 Pa3 P8'
_space_group_name_H-M_alt 'P 1'
_space_group_IT_number 1
_space_group_name_Hall 'P 1'
_cell_length_a 8.2647
_cell_length_b 8.4084
_cell_length_c 8.2647
_cell_angle_alpha 119.44
_cell_angle_beta 120.00
_cell_angle_gamma 90.00
loop_
_atom_site_label
_atom_site_fract_x
_atom_site_fract_y
_atom_site_fract_z
Sr1 0.5000 0.0000 0.0000
Sr2 0.5000 0.0000 0.5000
Sr3 0.0000 0.0000 0.0000
Sr4 0.0000 0.0000 0.5000
Np1 0.0000 0.5000 0.0000
Pa1 0.5000 0.5000 0.0000
Pa2 0.5000 0.5000 0.5000
Pa3 0.0000 0.5000 0.5000
P1 0.2403 0.7142 0.9739
P2 0.2403 0.7142 0.4806
P3 0.2617 0.2852 0.5234
P4 0.7336 0.7142 0.9739
P5 0.2664 0.2858 0.0261
P6 0.7383 0.7148 0.4766
P7 0.7597 0.2858 0.5194
P8 0.7597 0.2858 0.0261
```

## Properties
Total energy = -6.880 eV per atom
Energy of formation from the pure elements = -1165 meV per atom